No. 1
Here is a relaxed structure of PrZn3Pt2 from Alexandria. Energies are from GGA-PBE.

The structure in POSCAR format:
```
PrZn3Pt2
1.0
8.4617 -2.0906 0.0000
8.4617 2.0906 0.0000
-2.7099 0.0000 9.5973
Pr Zn Pt
3 9 6
Direct
0.0000 0.0000 0.0000 Pr
0.1627 0.1627 0.7139 Pr
0.8373 0.8373 0.2861 Pr
0.0474 0.0474 0.3529 Zn
0.2128 0.2128 0.3951 Zn
0.3311 0.3311 0.0349 Zn
0.3712 0.3712 0.7940 Zn
0.5000 0.5000 0.5000 Zn
0.6288 0.6288 0.2060 Zn
0.6689 0.6689 0.9651 Zn
0.7872 0.7872 0.6049 Zn
0.9526 0.9526 0.6471 Zn
0.1990 0.1990 0.1276 Pt
0.3614 0.3614 0.5330 Pt
0.4717 0.4717 0.2203 Pt
0.5283 0.5283 0.7797 Pt
0.6386 0.6386 0.4670 Pt
0.8010 0.8010 0.8724 Pt
```

## Properties
Space-group type   No. 12

No. 2
Here is a relaxed structure of Nd3Sm3Tm2 from Alexandria. Energies are from GGA-PBE.

The structure in POSCAR format:
```
Nd3Sm3Tm2
1.0
8.2944 -2.8864 0.0000
8.2944 2.8864 0.0000
-2.1628 0.0000 5.6250
Nd Sm Tm
3 3 2
Direct
0.0000 0.0000 0.0000 Nd
0.1352 0.1352 0.6924 Nd
0.8648 0.8648 0.3076 Nd
0.3655 0.3655 0.9198 Sm
0.5000 0.5000 0.5000 Sm
0.6345 0.6345 0.0802 Sm
0.2502 0.2502 0.3178 Tm
0.7498 0.7498 0.6822 Tm
```

## Properties
Space-group type   No. 12

Number 1: calculated formation energy -677 meV per atom, VASP energy -24.7 eV/f.u.. Number 2: calculated formation energy 75 meV per atom, VASP energy -36.8 eV/f.u..